First-principles (PBEsol) data for an optimized crystal structure of Y3TaSi, as listed in the Alexandria database.

Properties
Energy relative to the elements, uncorrected in eV/f.u.: 4.2
ΔE to the lowest computed polymorph in eV per formula unit: 1.007
DOS(E_F) in states/eV per atom: 0.73
M_tot in μB/f.u.: 0.00

```
Y3TaSi
1.0
5.267 0.000 0.000
0.000 5.267 0.000
0.000 0.000 5.267
Y Ta Si
3 1 1
Cartesian
0.000 0.000 2.633
0.000 2.633 0.000
2.633 0.000 0.000
0.000 0.000 0.000
2.633 2.633 2.633
```